No. 1
First-principles (PBE) data for a geometry-optimized TbPm2Te4 structure, as listed in the Alexandria database.

The structure in CIF format:
```
data_TbPm2Te4
_cell_length_a 16.4974
_cell_length_b 4.4231
_cell_length_c 7.7553
_cell_angle_alpha 90.00
_cell_angle_beta 117.50
_cell_angle_gamma 90.00
_space_group_name_H-M_alt 'C 1 2/m 1'
_space_group_IT_number 12
loop_
_space_group_symop_operation_xyz
'x,y,z'
'-x,-y,-z'
'-x,y,-z'
'x,-y,z'
'x+1/2,y+1/2,z'
'-x+1/2,-y+1/2,-z'
'-x+1/2,y+1/2,-z'
'x+1/2,-y+1/2,z'
loop_
_atom_site_label
_atom_site_fract_x
_atom_site_fract_y
_atom_site_fract_z
Tb1 0.0000 0.0000 0.0000
Pm1 0.2413 0.5000 0.7293
Te1 0.1184 0.0000 0.4442
Te2 0.1267 0.5000 0.9694
```

Properties
V = 35.85 A^3/atom
Formation energy without anion corrections = -1.41 eV/atom
Offset from the most stable computed form = 0 meV/atom

***

No. 2
First-principles (PBE) data for a geometry-optimized Nd6In2Au structure, as listed in the Alexandria database.

The structure in CIF format:
```
data_Nd6In2Au
_cell_length_a 10.3076
_cell_length_b 10.3076
_cell_length_c 5.2005
_cell_angle_alpha 90.00
_cell_angle_beta 90.00
_cell_angle_gamma 90.00
_space_group_name_H-M_alt 'P 42/m n m'
_space_group_IT_number 136
_space_group_name_Hall '-P 4n 2n'
loop_
_atom_site_label
_atom_site_fract_x
_atom_site_fract_y
_atom_site_fract_z
Nd1 0.0210 0.3169 0.0000
Nd2 0.1208 0.8792 0.5000
In1 0.2027 0.2027 0.5000
Au1 0.0000 0.0000 0.0000
```

Properties
V = 30.70 A^3/atom
DFT formation energy = -8.4 kcal/mol of atoms
Offset from the most stable computed form = 29 meV/atom

***

| no. | DOS at the Fermi energy (states/eV/cell) |
| --- | --- |
| 1 | 6.81 |
| 2 | 21.72 |